*w*
# PBE Tb3Zn2Pd, relaxed
# Symmetry: P-3m1
# D(E_F) (states/eV/f.u.): 3.398
data_Tb3Zn2Pd
_cell_length_a 5.0301
_cell_length_b 5.0301
_cell_length_c 6.1807
_cell_angle_alpha 90.00
_cell_angle_beta 90.00
_cell_angle_gamma 120.00
_space_group_name_H-M_alt 'P 1'
_space_group_IT_number 1
loop_
_space_group_symop_operation_xyz
'x,y,z'
loop_
_atom_site_label
_atom_site_type_symbol
_atom_site_fract_x
_atom_site_fract_y
_atom_site_fract_z
Tb1 Tb 0.0000 0.0000 0.0000
Tb2 Tb 0.3333 0.6667 0.6585
Tb3 Tb 0.6667 0.3333 0.3415
Zn1 Zn 0.3333 0.6667 0.1489
Zn2 Zn 0.6667 0.3333 0.8511
Pd1 Pd 0.0000 0.0000 0.5000

=====

*x*
# PBE Tb3Zn2Pd, relaxed
# Symmetry: P4/mmm
# D(E_F) (states/eV/f.u.): 4.743
data_Tb3Zn2Pd
_cell_length_a 3.5869
_cell_length_b 3.5869
_cell_length_c 10.5167
_cell_angle_alpha 90.00
_cell_angle_beta 90.00
_cell_angle_gamma 90.00
_space_group_name_H-M_alt 'P 1'
_space_group_IT_number 1
loop_
_space_group_symop_operation_xyz
'x,y,z'
loop_
_atom_site_label
_atom_site_type_symbol
_atom_site_fract_x
_atom_site_fract_y
_atom_site_fract_z
Tb1 Tb 0.0000 0.0000 0.0000
Tb2 Tb 0.0000 0.0000 0.3378
Tb3 Tb 0.0000 0.0000 0.6622
Zn1 Zn 0.5000 0.5000 0.1655
Zn2 Zn 0.5000 0.5000 0.8345
Pd1 Pd 0.5000 0.5000 0.5000

=====

In meV per atom, relative to the most stable structure: *w* 9; *x* 0.

=====

*w*
# PBE Tb3Zn4Pd4, relaxed
# Symmetry: P-1
# D(E_F) (states/eV/f.u.): 6.527
data_Tb3Zn4Pd4
_cell_length_a 3.5807
_cell_length_b 4.3185
_cell_length_c 14.1530
_cell_angle_alpha 81.53
_cell_angle_beta 82.82
_cell_angle_gamma 89.95
_space_group_name_H-M_alt 'P 1'
_space_group_IT_number 1
loop_
_space_group_symop_operation_xyz
'x,y,z'
loop_
_atom_site_label
_atom_site_type_symbol
_atom_site_fract_x
_atom_site_fract_y
_atom_site_fract_z
Tb1 Tb 0.0000 0.0000 0.0000
Tb2 Tb 0.1449 0.6445 0.7104
Tb3 Tb 0.8551 0.3555 0.2896
Zn1 Zn 0.2563 0.2573 0.4872
Zn2 Zn 0.4038 0.9043 0.1913
Zn3 Zn 0.5962 0.0957 0.8087
Zn4 Zn 0.7437 0.7427 0.5128
Pd1 Pd 0.3118 0.8123 0.3752
Pd2 Pd 0.4526 0.4494 0.0984
Pd3 Pd 0.5474 0.5506 0.9016
Pd4 Pd 0.6882 0.1877 0.6248

=====

*x*
# PBE Tb3Zn4Pd4, relaxed
# Symmetry: Immm
# D(E_F) (states/eV/f.u.): 4.949
data_Tb3Zn4Pd4
_cell_length_a 8.2361
_cell_length_b 8.2361
_cell_length_c 8.2361
_cell_angle_alpha 151.46
_cell_angle_beta 126.65
_cell_angle_gamma 61.62
_space_group_name_H-M_alt 'P 1'
_space_group_IT_number 1
loop_
_space_group_symop_operation_xyz
'x,y,z'
loop_
_atom_site_label
_atom_site_type_symbol
_atom_site_fract_x
_atom_site_fract_y
_atom_site_fract_z
Tb1 Tb 0.0000 0.0000 0.0000
Tb2 Tb 0.3733 0.8733 0.5000
Tb3 Tb 0.6267 0.1267 0.5000
Zn1 Zn 0.0234 0.3271 0.6964
Zn2 Zn 0.3693 0.6729 0.6964
Zn3 Zn 0.6307 0.3271 0.3036
Zn4 Zn 0.9766 0.6729 0.3036
Pd1 Pd 0.2174 0.2174 0.0000
Pd2 Pd 0.3066 0.5000 0.8066
Pd3 Pd 0.6934 0.5000 0.1934
Pd4 Pd 0.7826 0.7826 0.0000

=====

In meV per atom, relative to the most stable structure: *w* 50; *x* 0.

=====

*w*
# PBE Tb4Zn3Pd, relaxed
# Symmetry: P4/mmm
# D(E_F) (states/eV/f.u.): 6.539
data_Tb4Zn3Pd
_cell_length_a 3.5892
_cell_length_b 3.5892
_cell_length_c 14.0761
_cell_angle_alpha 90.00
_cell_angle_beta 90.00
_cell_angle_gamma 90.00
_space_group_name_H-M_alt 'P 1'
_space_group_IT_number 1
loop_
_space_group_symop_operation_xyz
'x,y,z'
loop_
_atom_site_label
_atom_site_type_symbol
_atom_site_fract_x
_atom_site_fract_y
_atom_site_fract_z
Tb1 Tb 0.0000 0.0000 0.1208
Tb2 Tb 0.0000 0.0000 0.3742
Tb3 Tb 0.0000 0.0000 0.6258
Tb4 Tb 0.0000 0.0000 0.8792
Zn1 Zn 0.5000 0.5000 0.2498
Zn2 Zn 0.5000 0.5000 0.5000
Zn3 Zn 0.5000 0.5000 0.7502
Pd1 Pd 0.5000 0.5000 0.0000

=====

*x*
# PBE Tb4Zn3Pd, relaxed
# Symmetry: Pmm2
# D(E_F) (states/eV/f.u.): 8.701
data_Tb4Zn3Pd
_cell_length_a 3.7056
_cell_length_b 4.5637
_cell_length_c 11.0755
_cell_angle_alpha 90.00
_cell_angle_beta 90.00
_cell_angle_gamma 90.00
_space_group_name_H-M_alt 'P 1'
_space_group_IT_number 1
loop_
_space_group_symop_operation_xyz
'x,y,z'
loop_
_atom_site_label
_atom_site_type_symbol
_atom_site_fract_x
_atom_site_fract_y
_atom_site_fract_z
Tb1 Tb 0.0000 0.0000 0.0000
Tb2 Tb 0.0000 0.5000 0.2816
Tb3 Tb 0.5000 0.0000 0.4852
Tb4 Tb 0.5000 0.5000 0.7904
Zn1 Zn 0.0000 0.0000 0.7107
Zn2 Zn 0.0000 0.5000 0.5656
Zn3 Zn 0.5000 0.5000 0.0651
Pd1 Pd 0.5000 0.0000 0.2136

=====

In meV per atom, relative to the most stable structure: *w* 0; *x* 43.

=====

*w*
# PBE Tc3Pd, relaxed
# Symmetry: R-3m
# D(E_F) (states/eV/f.u.): 3.221
data_Tc3Pd
_cell_length_a 2.7389
_cell_length_b 2.7389
_cell_length_c 27.1433
_cell_angle_alpha 90.00
_cell_angle_beta 90.00
_cell_angle_gamma 120.00
_space_group_name_H-M_alt 'P 1'
_space_group_IT_number 1
loop_
_space_group_symop_operation_xyz
'x,y,z'
loop_
_atom_site_label
_atom_site_type_symbol
_atom_site_fract_x
_atom_site_fract_y
_atom_site_fract_z
Tc1 Tc 0.0000 0.0000 0.0000
Tc2 Tc 0.0000 0.0000 0.2518
Tc3 Tc 0.0000 0.0000 0.7482
Tc4 Tc 0.3333 0.6667 0.4149
Tc5 Tc 0.3333 0.6667 0.6667
Tc6 Tc 0.3333 0.6667 0.9185
Tc7 Tc 0.6667 0.3333 0.0815
Tc8 Tc 0.6667 0.3333 0.3333
Tc9 Tc 0.6667 0.3333 0.5851
Pd1 Pd 0.0000 0.0000 0.5000
Pd2 Pd 0.3333 0.6667 0.1667
Pd3 Pd 0.6667 0.3333 0.8333

=====

*x*
# PBE Tc3Pd, relaxed
# Symmetry: P-6m2
# D(E_F) (states/eV/f.u.): 4.303
data_Tc3Pd
_cell_length_a 2.7514
_cell_length_b 2.7514
_cell_length_c 8.9541
_cell_angle_alpha 90.00
_cell_angle_beta 90.00
_cell_angle_gamma 120.00
_space_group_name_H-M_alt 'P 1'
_space_group_IT_number 1
loop_
_space_group_symop_operation_xyz
'x,y,z'
loop_
_atom_site_label
_atom_site_type_symbol
_atom_site_fract_x
_atom_site_fract_y
_atom_site_fract_z
Tc1 Tc 0.0000 0.0000 0.0000
Tc2 Tc 0.3333 0.6667 0.2441
Tc3 Tc 0.3333 0.6667 0.7559
Pd1 Pd 0.0000 0.0000 0.5000

=====

In meV per atom, relative to the most stable structure: *w* 26; *x* 0.